*i*
A crystal of CuAgAu2 relaxed with PBEsol. Source: Alexandria, functional meta-GGA SCAN.

abc: 3.9512 3.9512 4.8741
angles: 113.91 113.91 90.00
Element x y z (fractional)
Au1 0.0000 0.0000 0.0000
Au2 0.7500 0.2500 0.5000
Cu1 0.5000 0.5000 0.0000
Ag1 0.2500 0.7500 0.5000

Properties
Its space group is I-4m2 (119).

---

*ii*
A crystal of CuAgAu2 relaxed with PBEsol. Source: Alexandria, functional meta-GGA SCAN.

abc: 2.8229 2.8879 7.5874
angles: 90.00 90.00 90.00
Element x y z (fractional)
Au1 0.0000 0.0000 0.7718
Au2 0.0000 0.0000 0.2282
Cu1 0.5000 0.5000 0.0000
Ag1 0.5000 0.5000 0.5000

Properties
Its space group is Pmmm (47).

---

*iii*
A crystal of CuAgAu2 relaxed with PBEsol. Source: Alexandria, functional meta-GGA SCAN.

abc: 2.8152 3.8084 5.8170
angles: 90.00 90.00 90.00
Element x y z (fractional)
Au1 0.0000 0.0000 0.9961
Au2 0.5000 0.5000 0.2694
Cu1 0.0000 0.0000 0.4966
Ag1 0.5000 0.5000 0.7380

Properties
Its space group is Pmm2 (25).

---

Quick ranking, most stable first: *ii*, *i*, *iii*.

---

*i*
A crystal of CuAgAu2 relaxed with PBEsol. Source: Alexandria, functional meta-GGA SCAN.

abc: 2.8354 2.8354 9.1397
angles: 81.08 81.08 60.00
Element x y z (fractional)
Au1 0.9992 0.9992 0.0023
Au2 0.7564 0.7564 0.7309
Cu1 0.5002 0.5002 0.4995
Ag1 0.2442 0.2442 0.2673

Properties
Its space group is R3m (160).

---

*ii*
A crystal of CuAgAu2 relaxed with PBEsol. Source: Alexandria, functional meta-GGA SCAN.

abc: 4.4551 4.4551 4.4551
angles: 60.00 60.00 60.00
Element x y z (fractional)
Au1 0.2500 0.2500 0.2500
Au2 0.7500 0.7500 0.7500
Cu1 0.5000 0.5000 0.5000
Ag1 0.0000 0.0000 0.0000

Properties
Its space group is Fm-3m (225).

---

Quick ranking, most stable first: *ii*, *i*.

---

*i*
A crystal of CuAgAu2 relaxed with PBEsol. Source: Alexandria, functional meta-GGA SCAN.

abc: 3.9552 3.9552 4.8585
angles: 114.02 114.02 90.00
Element x y z (fractional)
Au1 0.7500 0.2500 0.5000
Au2 0.2500 0.7500 0.5000
Cu1 0.5000 0.5000 0.0000
Ag1 0.0000 0.0000 0.0000

Properties
Its space group is I4/mmm (139).

---

*ii*
A crystal of CuAgAu2 relaxed with PBEsol. Source: Alexandria, functional meta-GGA SCAN.

abc: 4.4629 4.4629 4.4629
angles: 60.00 60.00 60.00
Element x y z (fractional)
Au1 0.0000 0.0000 0.0000
Au2 0.7500 0.7500 0.7500
Cu1 0.2500 0.2500 0.2500
Ag1 0.5000 0.5000 0.5000

Properties
Its space group is F-43m (216).

---

*iii*
A crystal of CuAgAu2 relaxed with PBEsol. Source: Alexandria, functional meta-GGA SCAN.

abc: 2.8197 2.8197 7.8006
angles: 90.00 90.00 89.94
Element x y z (fractional)
Au1 0.0000 0.0000 0.0026
Au2 0.5000 0.5000 0.7265
Cu1 0.0000 0.0000 0.5004
Ag1 0.5000 0.5000 0.2705

Properties
Its space group is P4mm (99).

---

*iv*
A crystal of CuAgAu2 relaxed with PBEsol. Source: Alexandria, functional meta-GGA SCAN.

abc: 2.8190 4.8184 4.9052
angles: 102.05 106.70 90.00
Element x y z (fractional)
Au1 0.0001 0.9950 0.0002
Au2 0.7598 0.2641 0.5196
Cu1 0.4990 0.4944 0.9980
Ag1 0.2411 0.7465 0.4822

Properties
Its space group is Cm (8).

---

Quick ranking, most stable first: *i*, *iv*, *iii*, *ii*.

---

*i*
A crystal of FeAgAu2 relaxed with PBEsol. Source: Alexandria, functional meta-GGA SCAN.

abc: 2.7824 4.8750 4.8770
angles: 99.32 106.57 90.00
Element x y z (fractional)
Ag1 0.7552 0.2491 0.5104
Au1 0.9999 0.0081 0.9999
Au2 0.2433 0.7322 0.4867
Fe1 0.5015 0.5106 0.0030

Properties
Its space group is Cm (8).

---

*ii*
A crystal of FeAgAu2 relaxed with PBEsol. Source: Alexandria, functional meta-GGA SCAN.

abc: 2.8013 4.7315 5.5028
angles: 115.46 104.75 90.00
Element x y z (fractional)
Ag1 0.2384 0.7384 0.4768
Au1 0.0020 0.0020 0.0039
Au2 0.7638 0.2638 0.5277
Fe1 0.4958 0.4958 0.9916

Properties
Its space group is Imm2 (44).

---

Quick ranking, most stable first: *i*, *ii*.

---

*i*
A crystal of FeAg2Au relaxed with PBEsol. Source: Alexandria, functional meta-GGA SCAN.

abc: 3.8457 3.8457 4.2353
angles: 90.00 90.00 90.00
Element x y z (fractional)
Ag1 0.0000 0.5000 0.0000
Ag2 0.5000 0.0000 0.0000
Au1 0.5000 0.5000 0.5000
Fe1 0.0000 0.0000 0.5000

Properties
Its space group is P4/mmm (123).

---

*ii*
A crystal of FeAg2Au relaxed with PBEsol. Source: Alexandria, functional meta-GGA SCAN.

abc: 2.7579 4.9360 4.9360
angles: 111.60 90.00 90.00
Element x y z (fractional)
Ag1 0.0000 0.5000 0.0000
Ag2 0.0000 0.0000 0.5000
Au1 0.5000 0.0000 0.0000
Fe1 0.5000 0.5000 0.5000

Properties
Its space group is Cmmm (65).

---

Quick ranking, most stable first: *i*, *ii*.

---

*i*
A crystal of AgHgAu relaxed with PBEsol. Source: Alexandria, functional meta-GGA SCAN.

abc: 2.9885 4.0927 5.0830
angles: 113.74 107.10 90.00
Element x y z (fractional)
Au1 0.6639 0.6639 0.3278
Hg1 0.3338 0.3338 0.6676
Ag1 0.0023 0.0023 0.0046

Properties
Its space group is Imm2 (44).

---

*ii*
A crystal of AgHgAu relaxed with PBEsol. Source: Alexandria, functional meta-GGA SCAN.

abc: 2.9721 2.9721 6.4785
angles: 103.26 103.26 90.00
Element x y z (fractional)
Au1 0.6614 0.6614 0.3227
Hg1 0.3347 0.3347 0.6695
Ag1 0.0039 0.0039 0.0078

Properties
Its space group is I4mm (107).

---

Quick ranking, most stable first: *i*, *ii*.

---

*i*
A crystal of La2AgAu relaxed with PBEsol. Source: Alexandria, functional meta-GGA SCAN.

abc: 3.9343 4.7868 5.9774
angles: 90.00 107.89 90.00
Element x y z (fractional)
Au1 0.4519 0.5000 0.7856
Ag1 0.2995 0.0000 0.4660
La1 0.0057 0.0000 0.9007
La2 0.7430 0.5000 0.3477

Properties
Its space group is Pm (6).

---

*ii*
A crystal of La2AgAu relaxed with PBEsol. Source: Alexandria, functional meta-GGA SCAN.

abc: 5.2669 5.2669 5.2669
angles: 60.00 60.00 60.00
Element x y z (fractional)
Au1 0.0000 0.0000 0.0000
Ag1 0.5000 0.5000 0.5000
La1 0.7500 0.7500 0.7500
La2 0.2500 0.2500 0.2500

Properties
Its space group is Fm-3m (225).

---

Quick ranking, most stable first: *i*, *ii*.

---

*i*
A crystal of LaAgAu2 relaxed with PBEsol. Source: Alexandria, functional meta-GGA SCAN.

abc: 3.6173 3.6173 6.4906
angles: 90.00 90.00 90.00
Element x y z (fractional)
Au1 0.0000 0.0000 0.9931
Au2 0.5000 0.5000 0.2215
Ag1 0.5000 0.5000 0.7971
La1 0.0000 0.0000 0.4883

Properties
Its space group is P4mm (99).

---

*ii*
A crystal of LaAgAu2 relaxed with PBEsol. Source: Alexandria, functional meta-GGA SCAN.

abc: 4.9639 4.9490 4.9639
angles: 59.90 90.00 120.10
Element x y z (fractional)
Au1 0.2500 0.5000 0.2500
Au2 0.7500 0.5000 0.7500
Ag1 0.0000 0.0000 0.0000
La1 0.5000 0.0000 0.5000

Properties
Its space group is I4/mmm (139).

---

Quick ranking, most stable first: *ii*, *i*.